(1)
## AlPt2W (PBE)

Data for crystalline AlPt2W at its relaxed geometry.

It has space group I-4m2 (No. 119), with a = 3.9542 Å, b = 3.9542 Å, c = 7.8373 Å, α = 90.00°, β = 90.00° and γ = 90.00°. The asymmetric unit holds Al at (0.0000, 0.0000, 0.0000), Pt at (0.0000, 0.0000, 0.5000), Pt at (0.0000, 0.5000, 0.7500) and W at (0.0000, 0.5000, 0.2500).

The density of states at the Fermi level comes out at 5.04 states/eV/cell. Its energy relative to the elements is -113 kJ/mol of formula units. The total energy is -0.5503 Ry/atom. For the total magnetization, the calculation gives 0.0 μB/cell.

***

(2)
## TaAl2NiS (PBE)

Data for crystalline TaAl2NiS at its relaxed geometry.

It has space group P4/mmm (No. 123), with a = 4.3453 Å, b = 4.3453 Å, c = 4.7791 Å, α = 90.00°, β = 90.00° and γ = 90.00°. The asymmetric unit holds Ta at (0.0000, 0.0000, 0.0000), Al at (0.0000, 0.5000, 0.5000), Ni at (0.0000, 0.0000, 0.5000) and S at (0.5000, 0.5000, 0.0000).

The density of states at the Fermi level comes out at 3.55 states/eV/cell. The raw formation energy comes out at 265 meV/atom. The total energy is -0.4105 Ry/atom. For the total magnetization, the calculation gives 0.0 μB/cell.

***

(3)
## NdHoCuSi (PBE)

Data for crystalline NdHoCuSi at its relaxed geometry.

It has space group F-43m (No. 216), with a = 7.0896 Å, b = 7.0896 Å, c = 7.0896 Å, α = 90.00°, β = 90.00° and γ = 90.00°. The asymmetric unit holds Nd at (0.0000, 0.0000, 0.0000), Ho at (0.0000, 0.0000, 0.5000), Cu at (0.2500, 0.2500, 0.7500) and Si at (0.2500, 0.2500, 0.2500).

The density of states at the Fermi level comes out at 12.04 states/eV/cell. The raw formation energy comes out at -391 meV/atom. The total energy is -0.3753 Ry/atom. For the total magnetization, the calculation gives 0.0 μB/cell.

***

(4)
## ZnCuAuI2 (PBE)

Data for crystalline ZnCuAuI2 at its relaxed geometry.

It has space group P4/mmm (No. 123), with a = 5.4441 Å, b = 5.4441 Å, c = 4.9027 Å, α = 90.00°, β = 90.00° and γ = 90.00°. The asymmetric unit holds Zn at (0.0000, 0.0000, 0.0000), Cu at (0.5000, 0.5000, 0.5000), Au at (0.5000, 0.5000, 0.0000) and I at (0.0000, 0.5000, 0.5000).

The density of states at the Fermi level comes out at 5.12 states/eV/cell. The raw formation energy comes out at 408 meV/atom. The total energy is -0.1427 Ry/atom. For the total magnetization, the calculation gives 0.0 μB/cell.

***

(5)
## LaYInRu (PBE)

Data for crystalline LaYInRu at its relaxed geometry.

It has space group F-43m (No. 216), with a = 7.3544 Å, b = 7.3544 Å, c = 7.3544 Å, α = 90.00°, β = 90.00° and γ = 90.00°. The asymmetric unit holds La at (0.0000, 0.0000, 0.0000), Y at (0.0000, 0.0000, 0.5000), In at (0.2500, 0.2500, 0.7500) and Ru at (0.2500, 0.2500, 0.2500).

The density of states at the Fermi level comes out at 10.17 states/eV/cell. Its energy relative to the elements is -98 kJ/mol of formula units. The total energy is -0.4487 Ry/atom. For the total magnetization, the calculation gives 0.0 μB/cell.

***

(6)
## Dy8TlTe4As3 (PBE)

Data for crystalline Dy8TlTe4As3 at its relaxed geometry.

It has space group R-3m (No. 166, hexagonal axes), with a = 8.5149 Å, b = 8.5149 Å, c = 21.1800 Å, α = 90.00°, β = 90.00° and γ = 120.00°. The asymmetric unit holds Dy at (0.0000, 0.0000, 0.2394), Dy at (0.0064, 0.5032, 0.7578), Tl at (0.0000, 0.0000, 0.5000), Te at (0.0000, 0.0000, 0.0000), Te at (0.0000, 0.5000, 0.0000) and As at (0.0000, 0.5000, 0.5000).

The density of states at the Fermi level comes out at 12.63 states/eV/cell. The raw formation energy comes out at -1307 meV/atom. The total energy is -0.3979 Ry/atom. For the total magnetization, the calculation gives 0.0 μB/cell.

***

(7)
## AgMo2P (PBE)

Data for crystalline AgMo2P at its relaxed geometry.

It has space group R3m (No. 160, hexagonal axes), with a = 2.9110 Å, b = 2.9110 Å, c = 26.7346 Å, α = 90.00°, β = 90.00° and γ = 120.00°. The asymmetric unit holds Ag at (0.0000, 0.0000, 0.0000), Mo at (0.0000, 0.0000, 0.5094), Mo at (0.0000, 0.0000, 0.7583) and P at (0.0000, 0.0000, 0.2422).

The density of states at the Fermi level comes out at 9.82 states/eV/cell. Its energy relative to the elements is 81 kJ/mol of formula units. The total energy is -0.5344 Ry/atom. For the total magnetization, the calculation gives 0.0 μB/cell.

***

(8)
## LiTaRuBr2 (PBE)

Data for crystalline LiTaRuBr2 at its relaxed geometry.

It has space group P4/mmm (No. 123), with a = 4.9657 Å, b = 4.9657 Å, c = 5.6654 Å, α = 90.00°, β = 90.00° and γ = 90.00°. The asymmetric unit holds Li at (0.0000, 0.0000, 0.0000), Ta at (0.0000, 0.0000, 0.5000), Ru at (0.5000, 0.5000, 0.0000) and Br at (0.0000, 0.5000, 0.5000).

The density of states at the Fermi level comes out at 5.28 states/eV/cell. The raw formation energy comes out at 1263 meV/atom. The total energy is -0.2951 Ry/atom. For the total magnetization, the calculation gives 3.5 μB/cell.